# 1
ScAgOs2 | the Alexandria database | PBE | relaxed; E above lowest polymorph = 0.173 eV per atom; energy relative to the elements = 247 meV/atom
1.0
4.7367 -1.4429 0.0000
4.7367 1.4429 0.0000
-0.9678 0.0000 4.7301
Sc Ag Os
1 1 2
Direct
0.0000 0.0000 0.0000 Sc
0.5000 0.5000 0.5000 Ag
0.2545 0.2545 0.7572 Os
0.7455 0.7455 0.2428 Os

***

# 2
UPa2Al | the Alexandria database | PBE | relaxed; E above lowest polymorph = 0.041 eV per atom; energy relative to the elements = -27 meV/atom
1.0
4.5633 0.0000 0.0000
0.0000 4.5633 0.0000
0.0000 0.0000 4.2369
U Pa Al
1 2 1
Direct
0.0000 0.0000 0.0000 U
0.0000 0.5000 0.5000 Pa
0.5000 0.0000 0.5000 Pa
0.5000 0.5000 0.0000 Al

***

Copy entry 1 word for word.
ScAgOs2 | the Alexandria database | PBE | relaxed; E above lowest polymorph = 0.173 eV per atom; energy relative to the elements = 247 meV/atom
1.0
4.7367 -1.4429 0.0000
4.7367 1.4429 0.0000
-0.9678 0.0000 4.7301
Sc Ag Os
1 1 2
Direct
0.0000 0.0000 0.0000 Sc
0.5000 0.5000 0.5000 Ag
0.2545 0.2545 0.7572 Os
0.7455 0.7455 0.2428 Os

***

The highest energy relative to the elements belongs to which entry? ScAgOs2